Density functional theory data (GGA-PBE) for an optimized crystal structure of Pr7Ho12Cd.

The formation enthalpy at 0 K is 0.183 eV/atom. For the total energy, the calculation gives -256.96 eV for the cell shown. The calculation puts the volume at 33.58 Å³ per atom.

The space group is R-3 (No. 148, hexagonal axes) and the conventional cell measures 12.2915, 12.2915 and 15.4005 Å, with angles of 90.00, 90.00 and 120.00 degrees. The asymmetric unit holds Pr at (0.0000, 0.0000, 0.0000), Pr at (0.0106, 0.5797, 0.7026), Ho at (0.0319, 0.8460, 0.8083), Ho at (0.0696, 0.2549, 0.4236) and Cd at (0.0000, 0.0000, 0.5000).


Density functional theory data (GGA-PBE) for an optimized crystal structure of Zn2Fe3.

The formation enthalpy at 0 K is 0.281 eV/atom. For the total energy, the calculation gives -106.13 eV for the cell shown. The calculation puts the volume at 13.62 Å³ per atom.

The space group is Cmce (No. 64) and the conventional cell measures 4.9887, 7.2496 and 7.5333 Å, with angles of 90.00, 90.00 and 90.00 degrees. The asymmetric unit holds Zn at (0.0000, 0.1510, 0.0665), Fe at (0.0000, 0.0000, 0.5000) and Fe at (0.2500, 0.1174, 0.7500).


Density functional theory data (GGA-PBE) for an optimized crystal structure of ScTi2Mo2.

The formation enthalpy at 0 K is 0.155 eV/atom. For the total energy, the calculation gives -86.02 eV for the cell shown. The calculation puts the volume at 17.73 Å³ per atom.

The space group is P4/mbm (No. 127) and the conventional cell measures 7.3889, 7.3889 and 3.2479 Å, with angles of 90.00, 90.00 and 90.00 degrees. The asymmetric unit holds Sc at (0.0000, 0.0000, 0.0000), Ti at (0.1348, 0.3652, 0.0000) and Mo at (0.1538, 0.6538, 0.5000).


What is the formula in the third record?
ScTi2Mo2